Entry 1:
## DyTlCdBr6 (PBE)

Data for crystalline DyTlCdBr6 at its relaxed geometry.

* energy: -59.5 eV for the cell shown
* total magnetic moment: 0.0 μB/f.u.

a b c (Å): 7.290 7.290 14.612
angles (deg): 90.00 90.00 120.00
Atoms (fractional coordinates):
Br1 0.371 0.370 0.361
Br2 0.370 0.000 0.639
Br3 0.630 0.629 0.139
Br4 0.629 0.630 0.639
Br5 0.371 0.000 0.139
Br6 0.000 0.629 0.361
Br7 0.629 0.000 0.861
Br8 0.000 0.371 0.639
Br9 0.000 0.630 0.861
Br10 0.000 0.370 0.139
Br11 0.370 0.371 0.861
Br12 0.630 0.000 0.361
Tl1 0.000 0.000 0.000
Tl2 0.000 0.000 0.500
Dy1 0.667 0.333 0.250
Dy2 0.333 0.667 0.750
Cd1 0.667 0.333 0.750
Cd2 0.333 0.667 0.250

***

Entry 2:
## ErCdBr (PBE)

Data for crystalline ErCdBr at its relaxed geometry.

* energy: -18.6 eV for the cell shown
* total magnetic moment: 0.3 μB/f.u.

a b c (Å): 3.671 3.671 15.860
angles (deg): 90.00 90.00 120.00
Atoms (fractional coordinates):
Er1 0.612 0.224 0.650
Er2 0.612 0.224 0.350
Br1 0.279 0.557 0.225
Br2 0.279 0.557 0.775
Cd1 0.278 0.557 0.500
Cd2 0.607 0.214 0.000

***

Entry 3:
## ErCdBr6 (PBE)

Data for crystalline ErCdBr6 at its relaxed geometry.

* energy: -24.2 eV for the cell shown
* total magnetic moment: 0.8 μB/f.u.

a b c (Å): 6.955 6.950 7.372
angles (deg): 61.55 61.81 60.02
Atoms (fractional coordinates):
Br1 0.079 0.425 0.748
Br2 0.254 0.922 0.249
Br3 0.424 0.747 0.749
Br4 0.921 0.575 0.252
Br5 0.576 0.253 0.251
Br6 0.746 0.078 0.751
Er1 0.500 0.500 0.500
Cd1 0.000 0.000 0.000

***

Entry 4:
## KErCd2Br8 (PBE)

Data for crystalline KErCd2Br8 at its relaxed geometry.

* energy: -36.2 eV for the cell shown
* total magnetic moment: 0.0 μB/f.u.

a b c (Å): 6.934 6.544 8.739
angles (deg): 89.53 89.68 89.29
Atoms (fractional coordinates):
Br1 0.834 0.248 0.220
Br2 0.665 0.741 0.000
Br3 0.620 0.734 0.500
Br4 0.335 0.259 0.000
Br5 0.165 0.749 0.221
Br6 0.380 0.266 0.500
Br7 0.835 0.251 0.779
Br8 0.166 0.752 0.780
Er1 0.000 0.000 0.000
K1 0.000 0.000 0.500
Cd1 0.498 0.497 0.749
Cd2 0.502 0.503 0.251

***

Entry 5:
## NaErCdBr6 (PBE)

Data for crystalline NaErCdBr6 at its relaxed geometry.

* energy: -59.8 eV for the cell shown
* total magnetic moment: 0.0 μB/f.u.

a b c (Å): 7.143 7.143 13.383
angles (deg): 90.00 90.00 120.00
Atoms (fractional coordinates):
Cd1 0.333 0.667 0.750
Cd2 0.667 0.333 0.250
Br1 0.357 0.003 0.630
Br2 0.647 0.003 0.870
Br3 0.353 0.357 0.370
Br4 0.997 0.643 0.870
Br5 0.643 0.997 0.370
Br6 0.003 0.647 0.370
Br7 0.643 0.647 0.130
Br8 0.003 0.357 0.130
Br9 0.353 0.997 0.130
Br10 0.357 0.353 0.870
Br11 0.997 0.353 0.630
Br12 0.647 0.643 0.630
Na1 0.000 0.000 0.000
Na2 0.000 0.000 0.500
Er1 0.667 0.333 0.750
Er2 0.333 0.667 0.250

***

Entry 6:
## Cd3BrF5 (PBE)

Data for crystalline Cd3BrF5 at its relaxed geometry.

* energy: -61.8 eV for the cell shown
* total magnetic moment: 0.0 μB/f.u.

a b c (Å): 6.542 6.542 9.190
angles (deg): 69.92 69.92 67.72
Atoms (fractional coordinates):
Cd1 0.000 0.000 0.500
Cd2 0.000 0.000 0.000
Cd3 0.325 0.325 0.167
Cd4 0.632 0.632 0.275
Cd5 0.368 0.368 0.725
Cd6 0.675 0.675 0.833
F1 0.045 0.658 0.685
F2 0.230 0.230 0.985
F3 0.313 0.687 0.000
F4 0.687 0.313 0.000
F5 0.420 0.420 0.343
F6 0.580 0.580 0.657
F7 0.342 0.955 0.315
F8 0.658 0.045 0.685
F9 0.955 0.342 0.315
F10 0.770 0.770 0.015
Br1 0.864 0.864 0.314
Br2 0.136 0.136 0.686

***

Entry 7:
## Cd3BrF3 (PBE)

Data for crystalline Cd3BrF3 at its relaxed geometry.

* energy: -41.3 eV for the cell shown
* total magnetic moment: 0.0 μB/f.u.

a b c (Å): 6.484 6.484 8.399
angles (deg): 67.30 67.30 60.00
Atoms (fractional coordinates):
Br1 0.648 0.648 0.055
Br2 0.352 0.352 0.945
Cd1 0.131 0.824 0.708
Cd2 0.176 0.663 0.292
Cd3 0.337 0.131 0.708
Cd4 0.824 0.337 0.708
Cd5 0.663 0.869 0.292
Cd6 0.869 0.176 0.292
F1 0.272 0.912 0.383
F2 0.433 0.272 0.383
F3 0.912 0.433 0.383
F4 0.088 0.567 0.617
F5 0.567 0.728 0.617
F6 0.728 0.088 0.617

***

Entry 8:
## CdBrF2 (PBE)

Data for crystalline CdBrF2 at its relaxed geometry.

* energy: -22.5 eV for the cell shown
* total magnetic moment: 1.0 μB/f.u.
* excess energy over the best structure of this formula in the dataset: 4.05 kcal/mol of atoms

a b c (Å): 6.040 6.040 6.040
angles (deg): 107.41 107.41 113.68
Atoms (fractional coordinates):
Cd1 0.750 0.250 0.500
Cd2 0.000 0.000 0.000
Br1 0.500 0.500 0.000
Br2 0.250 0.750 0.500
F1 0.004 0.625 0.879
F2 0.375 0.254 0.379
F3 0.746 0.125 0.121
F4 0.875 0.996 0.621

***

Entry 9:
## Cd2BrF2 (PBE)

Data for crystalline Cd2BrF2 at its relaxed geometry.

* energy: -14.4 eV for the cell shown
* total magnetic moment: 0.0 μB/f.u.
* excess energy over the best structure of this formula in the dataset: 0.00 kcal/mol of atoms

a b c (Å): 4.050 4.050 6.193
angles (deg): 70.92 70.92 90.00
Atoms (fractional coordinates):
Cd1 0.368 0.368 0.264
Cd2 0.632 0.632 0.736
Br1 0.000 0.000 0.000
F1 0.250 0.750 0.500
F2 0.750 0.250 0.500

***

Entry 10:
## Cd2BrF2 (PBE)

Data for crystalline Cd2BrF2 at its relaxed geometry.

* energy: -27.8 eV for the cell shown
* total magnetic moment: 0.0 μB/f.u.
* excess energy over the best structure of this formula in the dataset: 2.28 kcal/mol of atoms

a b c (Å): 6.314 6.314 7.377
angles (deg): 115.34 115.34 90.00
Atoms (fractional coordinates):
F1 0.181 0.398 0.796
F2 0.648 0.931 0.296
F3 0.615 0.398 0.796
F4 0.648 0.365 0.296
Cd1 0.426 0.199 0.398
Cd2 0.449 0.722 0.898
Cd3 0.449 0.176 0.898
Cd4 0.972 0.199 0.398
Br1 0.987 0.987 0.973
Br2 0.237 0.737 0.473